First-principles (GGA-PBE) data for an optimized crystal structure of SrSiTc, as listed in the Alexandria database.

a = 4.128 Å, b = 4.128 Å, c = 4.803 Å
α = 90.00°, β = 90.00°, γ = 120.00°
Sites, in units of the cell vectors:
Sr 0.000 0.000 0.000
Si 0.333 0.667 0.500
Tc 0.667 0.333 0.500

Results
The formation energy from raw total energies is -63.1 meV per atom. The total magnetization is 0.132 μB per formula unit. Its total energy is -5.887 eV/atom.



First-principles (GGA-PBE) data for an optimized crystal structure of SrSiTc3, as listed in the Alexandria database.

a = 4.623 Å, b = 4.623 Å, c = 4.623 Å
α = 90.00°, β = 90.00°, γ = 90.00°
Sites, in units of the cell vectors:
Sr 0.000 0.000 0.000
Si 0.500 0.500 0.500
Tc 0.000 0.500 0.500
Tc 0.500 0.000 0.500
Tc 0.500 0.500 0.000

Results
The formation energy from raw total energies is 722.1 meV per atom. The total magnetization is 2.764 μB per formula unit. Its total energy is -6.918 eV/atom.



First-principles (GGA-PBE) data for an optimized crystal structure of Sr4SiTc, as listed in the Alexandria database.

a = 6.659 Å, b = 6.659 Å, c = 6.659 Å
α = 60.00°, β = 60.00°, γ = 60.00°
Sites, in units of the cell vectors:
Sr 0.125 0.125 0.125
Sr 0.125 0.125 0.626
Sr 0.125 0.626 0.125
Sr 0.626 0.125 0.125
Si 0.500 0.500 0.500
Tc 0.750 0.750 0.750

Results
The formation energy from raw total energies is 1199.8 meV per atom. The total magnetization is 2.642 μB per formula unit. Its total energy is -2.553 eV/atom.



First-principles (GGA-PBE) data for an optimized crystal structure of Sr2SiTc, as listed in the Alexandria database.

a = 5.556 Å, b = 5.556 Å, c = 3.450 Å
α = 90.00°, β = 90.00°, γ = 108.46°
Sites, in units of the cell vectors:
Sr 0.000 0.500 0.000
Sr 0.500 0.000 0.000
Si 0.000 0.000 0.500
Tc 0.500 0.500 0.500

Results
The formation energy from raw total energies is 602.3 meV per atom. The total magnetization is 2.137 μB per formula unit. Its total energy is -4.186 eV/atom.



How do the records compare in Fermi-level density of states? In the order shown, they have 1.697 7.412 6.612 4.601 states/eV per cell.